(1)
Na2SiAu2: relaxed, GGA-PBE.

Unit cell a=6.5408 b=12.4726 c=6.1944 alpha=90.00 beta=90.00 gamma=90.00
With the nearest neighbours (Å) after each atom.
Space group Ibam (No. 72)
Symmetry-distinct sites (fractional):
Na1 0.1668 0.1469 0.0000 [8 per cell]  5 Au 3.03-3.33, 2 Si 3.24
Si1 0.0000 0.5000 0.2500 [4 per cell]  4 Au 2.45
Au1 0.1994 0.3893 0.0000 [8 per cell]  2 Si 2.45

Output
Polymorph energy (0 for the lowest one) = 0.86 eV per formula unit
Total moment = 0.00 μB per atom
ρ = 6.15 g cm⁻³
Formation energy (no corrections) = -0.11 eV/atom
Density of states at the Fermi level = 7.388 states/eV/cell

---

(2)
BaCrGaSe4: relaxed, GGA-PBE.

Unit cell a=5.5741 b=7.0267 c=9.8987 alpha=90.00 beta=106.32 gamma=90.00
With the nearest neighbours (Å) after each atom.
Space group P2_1/m (No. 11)
Symmetry-distinct sites (fractional):
Ba1 0.1747 0.2500 0.3632 [2 per cell]  9 Se 3.32-3.72
Cr1 0.4401 0.2500 0.0025 [2 per cell]  5 Se 2.44-2.57
Ga1 0.3016 0.7500 0.2175 [2 per cell]  4 Se 2.36-2.49
Se1 0.0051 0.2500 0.0085 [2 per cell]  1 Ga 2.40, 1 Cr 2.44
Se2 0.2328 0.7500 0.4422 [2 per cell]  1 Ga 2.36
Se3 0.4004 0.5021 0.8092 [4 per cell]  1 Ga 2.49, 2 Cr 2.52-2.57

Output
Total moment = 0.43 μB per atom
ρ = 5.13 g cm⁻³
Formation energy (no corrections) = -0.91 eV/atom
Density of states at the Fermi level = 2.515 states/eV/cell